Entry 1:
Density functional theory data (GGA-PBE) for a relaxed structure of LaCd.

Results
The energy comes out at -2.97 eV/atom. Its density is 6.72 Mg/m³. The formation enthalpy at 0 K comes out at -49 meV per atom. The crystal system is trigonal. The calculation puts the total magnetic moment at 0.01 μB/cell.

Cell: 3.671 3.671 10.639 Å, 90.00 90.00 120.00°
Atoms (fractional coordinates):
Cd  0.000  0.000  0.022
Cd  0.333  0.667  0.228
La  0.000  0.000  0.478
La  0.333  0.667  0.772

=====

Entry 2:
Density functional theory data (GGA-PBE) for a relaxed structure of La8Cd.

Results
The energy comes out at -4.52 eV/atom. Its density is 6.46 Mg/m³. The formation enthalpy at 0 K comes out at -35 meV per atom. The crystal system is tetragonal. The calculation puts the total magnetic moment at 0.00 μB/cell.

Cell: 8.215 8.215 8.215 Å, 95.69 95.69 143.29°
Atoms (fractional coordinates):
La  0.324  0.000  0.324
La  0.676  0.000  0.676
La  0.000  0.676  0.676
La  0.333  0.667  0.000
La  0.667  0.667  0.333
La  0.000  0.324  0.324
La  0.333  0.333  0.667
La  0.667  0.333  0.000
Cd  0.000  0.000  0.000

=====

Entry 3:
Density functional theory data (GGA-PBE) for a relaxed structure of LaCd3.

Results
The energy comes out at -1.16 eV/atom. Its density is 2.96 Mg/m³. The formation enthalpy at 0 K comes out at 763 meV per atom. The crystal system is cubic. The calculation puts the total magnetic moment at 0.00 μB/cell.

Cell: 6.440 6.440 6.440 Å, 90.00 90.00 90.00°
Atoms (fractional coordinates):
Cd  0.000  0.000  0.500
Cd  0.000  0.500  0.000
Cd  0.500  0.000  0.000
La  0.000  0.000  0.000

=====

Entry 4:
Density functional theory data (GGA-PBE) for a relaxed structure of La8Cd.

Results
The energy comes out at -4.49 eV/atom. Its density is 6.37 Mg/m³. The formation enthalpy at 0 K comes out at -13 meV per atom. The crystal system is tetragonal. The calculation puts the total magnetic moment at 0.00 μB/cell.

Cell: 3.819 9.333 9.333 Å, 87.60 78.19 78.19°
Atoms (fractional coordinates):
La  0.655  0.000  0.689
La  0.345  0.000  0.311
La  0.332  0.668  0.668
La  0.655  0.689  0.000
La  0.000  0.668  0.332
La  0.345  0.311  0.000
La  0.668  0.332  0.332
La  0.000  0.332  0.668
Cd  0.000  0.000  0.000

=====

Entry 5:
Density functional theory data (GGA-PBE) for a relaxed structure of LaCd.

Results
The energy comes out at -3.06 eV/atom. Its density is 6.57 Mg/m³. The formation enthalpy at 0 K comes out at -137 meV per atom. The crystal system is trigonal. The calculation puts the total magnetic moment at 0.00 μB/cell.

Cell: 5.670 5.670 5.670 Å, 38.53 38.53 38.53°
Atoms (fractional coordinates):
Cd  0.000  0.000  0.000
La  0.500  0.500  0.500

=====

Entry 6:
Density functional theory data (GGA-PBE) for a relaxed structure of LaCd.

Results
The energy comes out at -3.11 eV/atom. Its density is 6.62 Mg/m³. The formation enthalpy at 0 K comes out at -189 meV per atom. The crystal system is cubic. The calculation puts the total magnetic moment at 0.00 μB/cell.

Cell: 6.319 6.319 6.319 Å, 90.00 90.00 90.00°
Atoms (fractional coordinates):
La  0.076  0.076  0.076
La  0.424  0.924  0.576
La  0.924  0.576  0.424
La  0.576  0.424  0.924
Cd  0.411  0.411  0.411
Cd  0.089  0.589  0.911
Cd  0.589  0.911  0.089
Cd  0.911  0.089  0.589

=====

Entry 7:
Density functional theory data (GGA-PBE) for a relaxed structure of La3Cd.

Results
The energy comes out at -4.05 eV/atom. Its density is 6.65 Mg/m³. The formation enthalpy at 0 K comes out at -122 meV per atom. The crystal system is orthorhombic. The calculation puts the total magnetic moment at 0.00 μB/cell.

Cell: 7.010 6.599 11.422 Å, 90.00 90.00 90.00°
Atoms (fractional coordinates):
Cd  0.632  0.897  0.750
Cd  0.132  0.603  0.250
Cd  0.868  0.397  0.750
Cd  0.368  0.103  0.250
La  0.146  0.982  0.750
La  0.646  0.518  0.250
La  0.354  0.482  0.750
La  0.854  0.018  0.250
La  0.596  0.226  0.967
La  0.096  0.274  0.033
La  0.904  0.726  0.533
La  0.404  0.774  0.467
La  0.404  0.774  0.033
La  0.904  0.726  0.967
La  0.096  0.274  0.467
La  0.596  0.226  0.533

=====

Entry 8:
Density functional theory data (GGA-PBE) for a relaxed structure of LaCd.

Results
The energy comes out at -2.98 eV/atom. Its density is 7.34 Mg/m³. The formation enthalpy at 0 K comes out at -58 meV per atom. The crystal system is cubic. The calculation puts the total magnetic moment at 1.64 μB/cell.

Cell: 5.438 5.438 5.438 Å, 60.00 60.00 60.00°
Last column: magnetic moment on the atom in μB.
Atoms (fractional coordinates):
Cd  0.000  0.000  0.000  0.02
Cd  0.750  0.750  0.750  0.02
La  0.250  0.250  0.250  0.43
La  0.500  0.500  0.500  0.43

=====

Entry 9:
Density functional theory data (GGA-PBE) for a relaxed structure of LaCd.

Results
The energy comes out at -3.00 eV/atom. Its density is 6.28 Mg/m³. The formation enthalpy at 0 K comes out at -83 meV per atom. The crystal system is tetragonal. The calculation puts the total magnetic moment at 0.00 μB/cell.

Cell: 6.330 6.330 6.630 Å, 90.00 90.00 90.00°
Atoms (fractional coordinates):
La  0.312  0.312  0.000
La  0.812  0.188  0.500
La  0.188  0.812  0.500
La  0.688  0.688  0.000
Cd  0.173  0.827  0.000
Cd  0.673  0.673  0.500
Cd  0.327  0.327  0.500
Cd  0.827  0.173  0.000

=====

Entry 10:
Density functional theory data (GGA-PBE) for a relaxed structure of La2Cd.

Results
The energy comes out at -3.56 eV/atom. Its density is 5.83 Mg/m³. The formation enthalpy at 0 K comes out at 33 meV per atom. The crystal system is tetragonal. The calculation puts the total magnetic moment at 0.61 μB/cell.

Cell: 5.547 5.547 3.614 Å, 90.00 90.00 90.00°
Last column: magnetic moment on the atom in μB.
Atoms (fractional coordinates):
Cd  0.000  0.000  0.000  0.00
La  0.000  0.500  0.500  0.14
La  0.500  0.000  0.500  0.14

=====

Entry 11:
Density functional theory data (GGA-PBE) for a relaxed structure of La2Cd.

Results
The energy comes out at -3.68 eV/atom. Its density is 6.44 Mg/m³. The formation enthalpy at 0 K comes out at -86 meV per atom. The crystal system is orthorhombic. The calculation puts the total magnetic moment at 0.00 μB/cell.

Cell: 8.952 8.952 5.820 Å, 90.00 90.00 154.43°
Atoms (fractional coordinates):
La  0.380  0.620  0.750
La  0.066  0.934  0.750
La  0.934  0.066  0.250
La  0.620  0.380  0.250
Cd  0.726  0.274  0.750
Cd  0.274  0.726  0.250

=====

Entry 12:
Density functional theory data (GGA-PBE) for a relaxed structure of LaCd6.

Results
The energy comes out at -1.20 eV/atom. Its density is 5.98 Mg/m³. The formation enthalpy at 0 K comes out at 290 meV per atom. The crystal system is cubic. The calculation puts the total magnetic moment at 0.26 μB/cell.

Cell: 6.643 6.643 6.643 Å, 109.47 109.47 109.47°
Last column: magnetic moment on the atom in μB.
Atoms (fractional coordinates):
La  0.000  0.000  0.000  0.22
Cd  0.250  0.750  0.500  0.00
Cd  0.500  0.750  0.250  0.00
Cd  0.250  0.500  0.750  0.00
Cd  0.750  0.250  0.500  0.00
Cd  0.500  0.250  0.750  0.00
Cd  0.750  0.500  0.250  0.00

=====

What did the second record say?
Density functional theory data (GGA-PBE) for a relaxed structure of La8Cd.

Results
The energy comes out at -4.52 eV/atom. Its density is 6.46 Mg/m³. The formation enthalpy at 0 K comes out at -35 meV per atom. The crystal system is tetragonal. The calculation puts the total magnetic moment at 0.00 μB/cell.

Cell: 8.215 8.215 8.215 Å, 95.69 95.69 143.29°
Atoms (fractional coordinates):
La  0.324  0.000  0.324
La  0.676  0.000  0.676
La  0.000  0.676  0.676
La  0.333  0.667  0.000
La  0.667  0.667  0.333
La  0.000  0.324  0.324
La  0.333  0.333  0.667
La  0.667  0.333  0.000
Cd  0.000  0.000  0.000